# 1
Computed, not measured: an optimized crystal structure of TbCu4Ge4 at the PBE level of DFT.

Computed properties:
magnetic moment = 0.00 μB/f.u.
energy of formation = -120 meV/atom

CIF file:
```
data_TbCu4Ge4
_symmetry_space_group_name_H-M 'P 42/n m c'
_symmetry_Int_Tables_number 137
_cell_length_a 5.947
_cell_length_b 5.947
_cell_length_c 8.461
_cell_angle_alpha 90.00
_cell_angle_beta 90.00
_cell_angle_gamma 90.00
loop_
_symmetry_equiv_pos_as_xyz
'x,y,z'
'-x,-y,-z'
'-y+1/2,x,z+1/2'
'y+1/2,-x,-z+1/2'
'-x+1/2,-y+1/2,z'
'x+1/2,y+1/2,-z'
'y,-x+1/2,z+1/2'
'-y,x+1/2,-z+1/2'
'x+1/2,-y,-z'
'-x+1/2,y,z'
'-y,-x,-z+1/2'
'y,x,z+1/2'
'-x,y+1/2,-z'
'x,-y+1/2,z'
'y+1/2,x+1/2,-z+1/2'
'-y+1/2,-x+1/2,z+1/2'
loop_
_atom_site_label
_atom_site_type_symbol
_atom_site_fract_x
_atom_site_fract_y
_atom_site_fract_z
_atom_site_occupancy
Tb1 Tb 0.250 0.750 0.250 1
Cu1 Cu 0.030 0.250 0.173 1
Ge1 Ge 0.029 0.250 0.459 1
```


# 2
Computed, not measured: an optimized crystal structure of TbCu3Ge2 at the PBE level of DFT.

Computed properties:
magnetic moment = 0.00 μB/f.u.
energy of formation = -383 meV/atom

CIF file:
```
data_TbCu3Ge2
_symmetry_space_group_name_H-M 'C 1 2/m 1'
_symmetry_Int_Tables_number 12
_cell_length_a 15.068
_cell_length_b 4.017
_cell_length_c 7.236
_cell_angle_alpha 90.00
_cell_angle_beta 115.80
_cell_angle_gamma 90.00
loop_
_symmetry_equiv_pos_as_xyz
'x,y,z'
'-x,-y,-z'
'-x,y,-z'
'x,-y,z'
'x+1/2,y+1/2,z'
'-x+1/2,-y+1/2,-z'
'-x+1/2,y+1/2,-z'
'x+1/2,-y+1/2,z'
loop_
_atom_site_label
_atom_site_type_symbol
_atom_site_fract_x
_atom_site_fract_y
_atom_site_fract_z
_atom_site_occupancy
Tb1 Tb 0.147 0.000 0.069 1
Cu1 Cu 0.040 0.000 0.381 1
Cu2 Cu 0.096 0.500 0.674 1
Cu3 Cu 0.189 0.500 0.458 1
Ge1 Ge 0.021 0.500 0.183 1
Ge2 Ge 0.197 0.000 0.703 1
```


# 3
Computed, not measured: an optimized crystal structure of TbCuGe2 at the PBE level of DFT.

Computed properties:
magnetic moment = 0.00 μB/f.u.
energy of formation = -377 meV/atom

CIF file:
```
data_TbCuGe2
_symmetry_space_group_name_H-M 'P 4/m m m'
_symmetry_Int_Tables_number 123
_symmetry_space_group_name_Hall '-P 4 2'
_cell_length_a 4.249
_cell_length_b 4.249
_cell_length_c 4.128
_cell_angle_alpha 90.00
_cell_angle_beta 90.00
_cell_angle_gamma 90.00
loop_
_atom_site_label
_atom_site_type_symbol
_atom_site_fract_x
_atom_site_fract_y
_atom_site_fract_z
_atom_site_occupancy
Tb1 Tb 0.000 0.000 0.000 1
Cu1 Cu 0.500 0.500 0.000 1
Ge1 Ge 0.000 0.500 0.500 1
```